DyLuCuGe (GGA-PBE, optimized geometry); ρ = 9.4 g cm⁻³; ΔE_f = -1.958 eV/f.u.; E_tot = -4.949 eV per atom
1.0
0.000 3.476 3.476
3.476 0.000 3.476
3.476 3.476 0.000
Dy Lu Cu Ge
1 1 1 1
Direct
0.000 0.000 0.000
0.500 0.500 0.500
0.250 0.250 0.250
0.750 0.750 0.750



TbScMo4 (GGA-PBE, optimized geometry); ρ = 8.5 g cm⁻³; ΔE_f = 0.366 eV/f.u.; E_tot = -8.987 eV per atom
1.0
0.000 3.857 3.857
3.857 0.000 3.857
3.857 3.857 0.000
Tb Sc Mo
1 1 4
Direct
0.000 0.000 0.000
0.250 0.250 0.250
0.125 0.625 0.625
0.625 0.125 0.625
0.625 0.625 0.125
0.625 0.625 0.625



FePt5 (GGA-PBE, optimized geometry); ρ = 17.1 g cm⁻³; ΔE_f = 1.294 eV/f.u.; E_tot = -6.229 eV per atom
1.0
0.000 3.682 3.682
3.682 0.000 3.682
3.682 3.682 0.000
Fe Pt
1 5
Direct
0.000 0.000 0.000
0.375 0.375 0.375
0.375 0.375 0.875
0.375 0.875 0.375
0.750 0.750 0.750
0.875 0.375 0.375



SrBeP (GGA-PBE, optimized geometry); ΔE to the lowest computed polymorph = 0.688 eV/atom; ρ = 3.6 g cm⁻³; ΔE_f = -0.021 eV/f.u.; E_tot = -3.613 eV per atom
1.0
-1.678 1.678 5.273
1.678 -1.678 5.273
1.678 1.678 -5.273
Sr Be P
1 1 1
Direct
0.000 0.000 0.000
0.277 0.277 0.000
0.715 0.715 0.000